A geometry-optimized RbSrBi3 structure, computed with PBE.

Computed properties:
ΔE to the lowest computed polymorph = 0.000 eV/atom
total DFT energy (no corrections) = -13.56 eV per cell
volume = 48.68 Å³ per atom
total magnetization = 0.00 μB/cell
density = 5.46 g cm⁻³

Cell: 6.244 6.244 6.244 Å, 90.00 90.00 90.00°
Space group Pm-3m (No. 221)
One atom of each set of equivalent atoms:
Rb (0.000, 0.000, 0.000) (multiplicity 1)
Sr (0.500, 0.500, 0.500) (multiplicity 1)
Bi (0.000, 0.500, 0.500) (multiplicity 3)

---

A geometry-optimized Rb2SrBi2 structure, computed with PBE.

Computed properties:
ΔE to the lowest computed polymorph = 0.138 eV/atom
total DFT energy (no corrections) = -25.63 eV per cell
volume = 43.44 Å³ per atom
total magnetization = 0.00 μB/cell
density = 5.17 g cm⁻³

Cell: 5.097 5.097 16.718 Å, 90.00 90.00 90.00°
Space group I4/mmm (No. 139)
One atom of each set of equivalent atoms:
Rb (0.000, 0.500, 0.250) (multiplicity 4)
Sr (0.000, 0.000, 0.000) (multiplicity 2)
Bi (0.000, 0.000, 0.410) (multiplicity 4)

---

A geometry-optimized Rb2SrBi2 structure, computed with PBE.

Computed properties:
ΔE to the lowest computed polymorph = 0.000 eV/atom
total DFT energy (no corrections) = -27.01 eV per cell
volume = 46.19 Å³ per atom
total magnetization = 0.00 μB/cell
density = 4.86 g cm⁻³

Cell: 8.749 8.749 6.035 Å, 90.00 90.00 90.00°
Space group P4/mbm (No. 127)
One atom of each set of equivalent atoms:
Rb (0.160, 0.340, 0.000) (multiplicity 4)
Sr (0.000, 0.000, 0.500) (multiplicity 2)
Bi (0.127, 0.627, 0.500) (multiplicity 4)

---

no.,formation energy (eV per atom)
1,0.15
2,-0.29
3,-0.43